VASP calculation (GGA-PBE) on an optimized crystal structure of MnTl3Ag2Cl8.

Cell lengths 7.0514, 7.0514, 9.5056 Å; angles 90.00, 90.00, 120.00 degrees
Space group P-3m1 (No. 164)
One atom of each set of equivalent atoms:
1 Mn 0.0000 0.0000 0.0000 x1
2 Tl 0.0000 0.0000 0.5000 x1
3 Tl 0.3333 0.6667 0.1219 x2
4 Ag 0.3333 0.6667 0.6889 x2
5 Cl 0.1579 0.3157 0.8482 x6
6 Cl 0.3333 0.6667 0.4355 x2

E_form (uncorrected) ... -0.800 eV/atom
Magnetic moment ... 4.00 μB per formula unit



VASP calculation (GGA-PBE) on an optimized crystal structure of CuRePb2.

Cell lengths 6.858, 6.887, 3.372 Å; angles 90.00, 90.00, 90.00 degrees
Space group Cmmm (No. 65)
One atom of each set of equivalent atoms:
1 Cu 0.000 0.000 0.000 x2
2 Re 0.000 0.500 0.000 x2
3 Pb 0.250 0.250 0.500 x4

Formation enthalpy at 0 K ... 0.904 eV/atom
Magnetic moment ... 0.00 μB per formula unit



VASP calculation (GGA-PBE) on an optimized crystal structure of Na2B2S.

Cell lengths 8.233, 8.233, 2.334 Å; angles 90.00, 90.00, 90.00 degrees
Space group P4/mbm (No. 127)
One atom of each set of equivalent atoms:
1 Na 0.218 0.282 0.000 x4
2 B 0.069 0.569 0.500 x4
3 S 0.000 0.000 0.000 x2

E_form (uncorrected) ... 0.715 eV/atom
Magnetic moment ... 0.00 μB per formula unit